VASP calculation (GGA+U) on a geometry-optimized PmUCr2O6 structure.

Output
**Spin magnetization**: 7.00 Bohr magnetons per cell
**Raw total energy**: -8.670 eV per atom

Cell and atoms, written as extended XYZ:
```
10
Lattice="5.6895 -0.0489 0.1558 2.8012 4.8206 0.1765 2.9622 1.6900 5.1874" Properties=species:S:1:pos:R:3 pbc="T T T"
Pm 8.5591 4.7998 3.2532
U 2.8335 1.5813 0.3450
Cr 5.7246 3.1859 2.4328
Cr 2.8961 1.6919 4.9660
O 4.8031 1.3733 1.2677
O 4.7541 4.8051 1.5760
O 7.6237 3.3217 1.4951
O 6.5098 4.8354 4.2864
O 6.5943 1.9709 3.9317
O 4.1379 3.1540 4.0110
```